PBE GaSn2Se2, optimized geometry; energy = -3.755 eV per atom; formation energy without anion corrections = -0.155 eV/atom; V = 26.24 Å³ per atom; SG = No. 127; M_tot = 0.00 μB per formula unit; energy above the lowest structure with this stoichiometry = 0.0000 eV per atom
1.0
8.070 0.000 0.000
0.000 8.070 0.000
0.000 0.000 4.030
Ga Sn Se
2 4 4
Direct
0.000 0.000 0.000
0.500 0.500 0.000
0.159 0.341 0.500
0.341 0.841 0.500
0.659 0.159 0.500
0.841 0.659 0.500
0.161 0.661 0.000
0.339 0.161 0.000
0.661 0.839 0.000
0.839 0.339 0.000